Entry 1:
Density functional theory data (PBE) for a relaxed structure of LiCe2AlPt6.

Cell: 5.642 5.642 8.483 Å, 109.35 109.35 60.09°
Fractional coordinates of all 10 atoms:
Li  0.000  0.000  0.000
Ce  0.207  0.207  0.621
Ce  0.793  0.793  0.379
Al  0.500  0.500  0.500
Pt  0.239  0.747  0.734
Pt  0.253  0.253  0.266
Pt  0.253  0.761  0.266
Pt  0.747  0.239  0.734
Pt  0.747  0.747  0.734
Pt  0.761  0.253  0.266

Output
Its space group is C2/m, No. 12.



Entry 2:
Density functional theory data (PBE) for a relaxed structure of LiCe2Al4Pt3.

Cell: 4.266 4.266 10.495 Å, 90.00 90.00 90.00°
Fractional coordinates of all 10 atoms:
Li  0.000  0.000  0.000
Ce  0.000  0.500  0.745
Ce  0.500  0.000  0.255
Al  0.000  0.000  0.500
Al  0.000  0.500  0.128
Al  0.500  0.000  0.872
Al  0.500  0.500  0.500
Pt  0.000  0.500  0.365
Pt  0.500  0.000  0.635
Pt  0.500  0.500  0.000

Output
Its space group is P-4m2, No. 115.



Entry 3:
Density functional theory data (PBE) for a relaxed structure of LiCe2Al3Pt4.

Cell: 4.129 4.129 11.031 Å, 90.00 90.00 90.00°
Fractional coordinates of all 10 atoms:
Li  0.000  0.000  0.000
Ce  0.000  0.500  0.755
Ce  0.500  0.000  0.245
Al  0.000  0.500  0.371
Al  0.500  0.000  0.629
Al  0.500  0.500  0.000
Pt  0.000  0.000  0.500
Pt  0.000  0.500  0.144
Pt  0.500  0.000  0.856
Pt  0.500  0.500  0.500

Output
Its space group is P-4m2, No. 115.



Entry 4:
Density functional theory data (PBE) for a relaxed structure of LiCeAlRe.

Cell: 4.643 4.643 4.643 Å, 60.00 60.00 60.00°
Fractional coordinates of all 4 atoms:
Li  0.000  0.000  0.000
Ce  0.250  0.250  0.250
Al  0.750  0.750  0.750
Re  0.500  0.500  0.500

Output
Its space group is F-43m, No. 216.



Entry 5:
Density functional theory data (PBE) for a relaxed structure of LiCeAlRh.

Cell: 4.671 4.671 4.671 Å, 60.00 60.00 60.00°
Fractional coordinates of all 4 atoms:
Li  0.000  0.000  0.000
Ce  0.750  0.750  0.750
Al  0.250  0.250  0.250
Rh  0.500  0.500  0.500

Output
Its space group is F-43m, No. 216.



Entry 6:
Density functional theory data (PBE) for a relaxed structure of LiCeAlRu.

Cell: 4.644 4.644 4.644 Å, 60.00 60.00 60.00°
Fractional coordinates of all 4 atoms:
Li  0.000  0.000  0.000
Ce  0.750  0.750  0.750
Al  0.250  0.250  0.250
Ru  0.500  0.500  0.500

Output
Its space group is F-43m, No. 216.



Entry 7:
Density functional theory data (PBE) for a relaxed structure of LiCeScAl.

Cell: 5.013 5.013 5.013 Å, 60.00 60.00 60.00°
Fractional coordinates of all 4 atoms:
Li  0.000  0.000  0.000
Ce  0.750  0.750  0.750
Sc  0.250  0.250  0.250
Al  0.500  0.500  0.500

Output
Its space group is F-43m, No. 216.



Entry 8:
Density functional theory data (PBE) for a relaxed structure of SrLiCeAl.

Cell: 5.465 5.465 5.465 Å, 60.00 60.00 60.00°
Fractional coordinates of all 4 atoms:
Sr  0.000  0.000  0.000
Li  0.750  0.750  0.750
Ce  0.500  0.500  0.500
Al  0.250  0.250  0.250

Output
Its space group is F-43m, No. 216.



Number 1: E_form -0.795 eV per atom. Number 2: E_form -0.899 eV per atom. Number 3: E_form -0.985 eV per atom. Number 4: E_form 0.003 eV per atom. Number 5: E_form -0.483 eV per atom. Number 6: E_form -0.290 eV per atom. Number 7: E_form -0.130 eV per atom. Number 8: E_form 0.028 eV per atom.